Record 1
Here is an optimized crystal structure of Tb2Nd2ErSc from Alexandria. Energies are from GGA-PBE.

Results
The uncorrected energy is -0.1783 hartree per atom. As for the space-group type: Pmma (51). The energy relative to the elements comes out at 96 meV/atom. The density of states at the Fermi level is 1.57 states/eV per atom. The value obtained for the volume is 31.25 Å³/atom. As for the total magnetization: 0.00 μB/cell.

a b c (Å): 6.8928 5.6030 9.7092
angles (deg): 90.00 90.00 90.00
Last column: nearest neighbours and their distance in Å.
Positions (direct):
1 Tb 0.2500 0.0000 0.1652  2 Er 3.31, 7 Nd 3.41-3.66, 2 Sc 3.68
2 Tb 0.2500 0.5000 0.6669  3 Er 3.11-3.45, 2 Nd 3.15
3 Tb 0.7500 0.0000 0.8348  2 Er 3.31, 7 Nd 3.41-3.66, 2 Sc 3.68
4 Tb 0.7500 0.5000 0.3331  3 Er 3.11-3.45, 2 Nd 3.15
5 Nd 0.0000 0.5000 0.0000  6 Nd 3.45-3.75, 6 Tb 3.66, 2 Er 3.78
6 Nd 0.2500 0.0000 0.8145  5 Tb 3.15-3.45, 2 Sc 3.51
7 Nd 0.5000 0.5000 0.0000  6 Nd 3.45-3.75, 6 Tb 3.66, 2 Er 3.78
8 Nd 0.7500 0.0000 0.1855  5 Tb 3.15-3.45, 2 Sc 3.51
9 Er 0.2500 0.5000 0.3468  5 Tb 3.11-3.45
10 Er 0.7500 0.5000 0.6532  5 Tb 3.11-3.45
11 Sc 0.0000 0.0000 0.5000  2 Sc 3.45, 2 Nd 3.51, 4 Er 3.61, 6 Tb 3.67-3.68
12 Sc 0.5000 0.0000 0.5000  2 Sc 3.45, 2 Nd 3.51, 4 Er 3.61, 6 Tb 3.67-3.68



Record 2
Here is an optimized crystal structure of PmHo3Se4 from Alexandria. Energies are from GGA-PBE.

Results
The uncorrected energy is -0.2131 hartree per atom. As for the space-group type: Cmmm (65). The density of states at the Fermi level is 0.58 states/eV per atom. The value obtained for the volume is 24.22 Å³/atom. For the formation energy (no corrections), the calculation gives -1.75 eV/atom. As for the total magnetization: 0.00 μB/cell.

a b c (Å): 7.1221 7.1221 4.0339
angles (deg): 90.00 90.00 108.75
Last column: nearest neighbours and their distance in Å.
Positions (direct):
1 Pm 0.0000 0.0000 0.0000  6 Se 2.94-2.95
2 Ho 0.0000 0.5000 0.5000  6 Se 2.89-2.90
3 Ho 0.5000 0.0000 0.5000  6 Se 2.89-2.90
4 Ho 0.5000 0.5000 0.0000  6 Se 2.84
5 Se 0.2543 0.7457 0.0000  5 Ho 2.84-2.89, 1 Pm 2.94
6 Se 0.2587 0.2587 0.5000  4 Ho 2.84-2.90, 2 Pm 2.95
7 Se 0.7413 0.7413 0.5000  4 Ho 2.84-2.90, 2 Pm 2.95
8 Se 0.7457 0.2543 0.0000  5 Ho 2.84-2.89, 1 Pm 2.94



Record 3
Here is an optimized crystal structure of Nd5Sm4Sc3 from Alexandria. Energies are from GGA-PBE.

Results
The uncorrected energy is -0.1809 hartree per atom. As for the space-group type: C2/m (12). The energy relative to the elements comes out at 219 meV/atom. The density of states at the Fermi level is 1.60 states/eV per atom. The value obtained for the volume is 32.66 Å³/atom. As for the total magnetization: 0.00 μB/cell.

a b c (Å): 8.4835 8.4835 9.5069
angles (deg): 115.81 115.81 40.28
Last column: nearest neighbours and their distance in Å.
Positions (direct):
1 Nd 0.0000 0.0000 0.0000  2 Sc 2.92
2 Nd 0.0652 0.0652 0.7060  3 Nd 3.27-3.48, 1 Sc 3.48
3 Nd 0.2794 0.2794 0.7412  4 Sc 3.14-3.32, 1 Nd 3.27, 2 Sm 3.38-3.43
4 Nd 0.7206 0.7206 0.2588  4 Sc 3.14-3.32, 1 Nd 3.27, 2 Sm 3.38-3.43
5 Nd 0.9348 0.9348 0.2940  3 Nd 3.27-3.48, 1 Sc 3.48
6 Sm 0.2856 0.2856 0.1064  6 Nd 3.43-3.80, 3 Sm 3.43-3.64, 1 Sc 3.72
7 Sm 0.4063 0.4063 0.5381  3 Sc 3.33-3.44, 2 Sm 3.38-3.64, 3 Nd 3.38-3.71
8 Sm 0.5937 0.5937 0.4619  3 Sc 3.33-3.44, 2 Sm 3.38-3.64, 3 Nd 3.38-3.71
9 Sm 0.7144 0.7144 0.8936  6 Nd 3.43-3.80, 3 Sm 3.43-3.64, 1 Sc 3.72
10 Sc 0.1706 0.1706 0.3690  5 Nd 3.14-3.48, 3 Sm 3.33-3.44
11 Sc 0.5000 0.5000 0.0000  4 Nd 2.92-3.22
12 Sc 0.8294 0.8294 0.6310  5 Nd 3.14-3.48, 3 Sm 3.33-3.44



Record 4
Here is an optimized crystal structure of Pm3MgGa from Alexandria. Energies are from GGA-PBE.

Results
The uncorrected energy is -0.1476 hartree per atom. As for the space-group type: Cmcm (63). The energy relative to the elements comes out at -241 meV/atom. The density of states at the Fermi level is 1.12 states/eV per atom. The value obtained for the volume is 28.24 Å³/atom. As for the total magnetization: 0.00 μB/cell.

a b c (Å): 10.4814 10.4814 5.2738
angles (deg): 90.00 90.00 150.82
Last column: nearest neighbours and their distance in Å.
Positions (direct):
1 Pm 0.0639 0.9361 0.7500  2 Mg 3.25, 2 Ga 3.28
2 Pm 0.2497 0.7503 0.7500  4 Ga 3.21, 4 Mg 3.23-3.24
3 Pm 0.4342 0.5658 0.7500  2 Mg 3.23, 2 Ga 3.25
4 Pm 0.5658 0.4342 0.2500  2 Mg 3.23, 2 Ga 3.25
5 Pm 0.7503 0.2497 0.2500  4 Ga 3.21, 4 Mg 3.23-3.24
6 Pm 0.9361 0.0639 0.2500  2 Mg 3.25, 2 Ga 3.28
7 Mg 0.1574 0.8426 0.2500  8 Pm 3.23-3.25
8 Mg 0.8426 0.1574 0.7500  8 Pm 3.23-3.25
9 Ga 0.3402 0.6598 0.2500  8 Pm 3.21-3.28
10 Ga 0.6598 0.3402 0.7500  8 Pm 3.21-3.28